Entry 1:
This record from Alexandria via LeMat-Bulk describes an optimized crystal structure of Rb3NaOs. The functional is GGA-PBE.

Output
Energy relative to the lowest polymorph listed for this composition, meV per atom: 0.0
Energy of formation from the pure elements, eV/atom: 1.082

```
data_Rb3NaOs
_cell_length_a 6.619
_cell_length_b 6.619
_cell_length_c 6.619
_cell_angle_alpha 90.00
_cell_angle_beta 90.00
_cell_angle_gamma 90.00
_space_group_name_H-M_alt 'P m -3 m'
_space_group_IT_number 221
_space_group_name_Hall '-P 4 2 3'
loop_
_atom_site_label
_atom_site_fract_x
_atom_site_fract_y
_atom_site_fract_z
Rb1 0.000 0.000 0.500
Na1 0.500 0.500 0.500
Os1 0.000 0.000 0.000
```

---

Entry 2:
This record from Alexandria via LeMat-Bulk describes an optimized crystal structure of CaCoGe2Os. The functional is GGA-PBE.

Output
Energy of formation from the pure elements, eV/atom: -0.353

```
data_CaCoGe2Os
_cell_length_a 4.124
_cell_length_b 4.124
_cell_length_c 10.328
_cell_angle_alpha 90.00
_cell_angle_beta 90.00
_cell_angle_gamma 90.00
_space_group_name_H-M_alt 'I -4 m 2'
_space_group_IT_number 119
_space_group_name_Hall 'I -4 -2'
loop_
_atom_site_label
_atom_site_fract_x
_atom_site_fract_y
_atom_site_fract_z
Ca1 0.000 0.000 0.000
Co1 0.000 0.500 0.750
Ge1 0.000 0.000 0.371
Os1 0.000 0.500 0.250
```

---

Entry 3:
This record from Alexandria via LeMat-Bulk describes an optimized crystal structure of Zr2Cd2Au. The functional is GGA-PBE.

Output
Energy relative to the lowest polymorph listed for this composition, meV per atom: 0.0
Energy of formation from the pure elements, eV/atom: -0.256

```
data_Zr2Cd2Au
_cell_length_a 3.156
_cell_length_b 3.156
_cell_length_c 21.018
_cell_angle_alpha 90.00
_cell_angle_beta 90.00
_cell_angle_gamma 90.00
_space_group_name_H-M_alt 'I 4/m m m'
_space_group_IT_number 139
_space_group_name_Hall '-I 4 2'
loop_
_atom_site_label
_atom_site_fract_x
_atom_site_fract_y
_atom_site_fract_z
Zr1 0.000 0.000 0.095
Cd1 0.000 0.000 0.300
Au1 0.000 0.000 0.500
```

---

Entry 4:
This record from Alexandria via LeMat-Bulk describes an optimized crystal structure of La2BiSe2. The functional is GGA-PBE.

Output
Energy relative to the lowest polymorph listed for this composition, meV per atom: 70.5
Formation energy without anion corrections, kJ/mol of formula units: -665

```
data_La2BiSe2
_cell_length_a 8.761
_cell_length_b 8.761
_cell_length_c 3.675
_cell_angle_alpha 90.00
_cell_angle_beta 90.00
_cell_angle_gamma 90.00
_space_group_name_H-M_alt 'P 4/m b m'
_space_group_IT_number 127
_space_group_name_Hall '-P 4 2ab'
loop_
_atom_site_label
_atom_site_fract_x
_atom_site_fract_y
_atom_site_fract_z
La1 0.165 0.335 0.000
Bi1 0.000 0.000 0.500
Se1 0.129 0.629 0.500
```

---

Entry 5:
This record from Alexandria via LeMat-Bulk describes an optimized crystal structure of Y2Tm2Se2S3. The functional is GGA-PBE.

Output
Formation energy without anion corrections, kJ/mol of formula units: -1438

```
data_Y2Tm2Se2S3
_cell_length_a 5.289
_cell_length_b 5.289
_cell_length_c 14.607
_cell_angle_alpha 90.00
_cell_angle_beta 90.00
_cell_angle_gamma 90.00
_space_group_name_H-M_alt 'I 4/m m m'
_space_group_IT_number 139
_space_group_name_Hall '-I 4 2'
loop_
_atom_site_label
_atom_site_fract_x
_atom_site_fract_y
_atom_site_fract_z
Y1 0.000 0.000 0.201
Tm1 0.000 0.500 0.000
Se1 0.000 0.000 0.397
S1 0.000 0.000 0.000
S2 0.000 0.500 0.250
```

---

Entry 6:
This record from Alexandria via LeMat-Bulk describes an optimized crystal structure of RbTl6Sb3. The functional is GGA-PBE.

Output
Formation energy without anion corrections, kJ/mol of formula units: -42

```
data_RbTl6Sb3
_cell_length_a 11.353
_cell_length_b 4.684
_cell_length_c 13.623
_cell_angle_alpha 90.00
_cell_angle_beta 104.46
_cell_angle_gamma 90.00
_space_group_name_H-M_alt 'P 1 21/m 1'
_space_group_IT_number 11
_space_group_name_Hall '-P 2yb'
loop_
_atom_site_label
_atom_site_fract_x
_atom_site_fract_y
_atom_site_fract_z
Rb1 0.004 0.250 0.255
Tl1 0.116 0.250 0.999
Tl2 0.220 0.750 0.431
Tl3 0.242 0.750 0.187
Tl4 0.303 0.750 0.706
Tl5 0.421 0.250 0.561
Tl6 0.440 0.250 0.081
Sb1 0.082 0.250 0.550
Sb2 0.286 0.750 0.946
Sb3 0.409 0.250 0.308
```

---

Entry 7:
This record from Alexandria via LeMat-Bulk describes an optimized crystal structure of Rb3Ag3Sn8. The functional is GGA-PBE.

Output
Energy relative to the lowest polymorph listed for this composition, meV per atom: 0.0
Energy of formation from the pure elements, eV/atom: -0.087

```
data_Rb3Ag3Sn8
_cell_length_a 4.804
_cell_length_b 12.942
_cell_length_c 13.443
_cell_angle_alpha 90.00
_cell_angle_beta 90.00
_cell_angle_gamma 90.00
_space_group_name_H-M_alt 'I m m m'
_space_group_IT_number 71
_space_group_name_Hall '-I 2 2'
loop_
_atom_site_label
_atom_site_fract_x
_atom_site_fract_y
_atom_site_fract_z
Rb1 0.000 0.000 0.000
Rb2 0.000 0.000 0.264
Ag1 0.000 0.121 0.500
Ag2 0.000 0.500 0.000
Sn1 0.000 0.311 0.138
Sn2 0.000 0.324 0.378
```

---

Entry 8:
This record from Alexandria via LeMat-Bulk describes an optimized crystal structure of CuIN2F. The functional is GGA-PBE.

Output
Energy relative to the lowest polymorph listed for this composition, meV per atom: 373.4
Formation energy without anion corrections, kJ/mol of formula units: 709

```
data_CuIN2F
_cell_length_a 4.052
_cell_length_b 4.052
_cell_length_c 4.484
_cell_angle_alpha 90.00
_cell_angle_beta 90.00
_cell_angle_gamma 90.00
_space_group_name_H-M_alt 'P 4/m m m'
_space_group_IT_number 123
_space_group_name_Hall '-P 4 2'
loop_
_atom_site_label
_atom_site_fract_x
_atom_site_fract_y
_atom_site_fract_z
Cu1 0.000 0.000 0.000
I1 0.500 0.500 0.500
N1 0.000 0.500 0.500
F1 0.500 0.500 0.000
```

---

no.,DOS(E_F) (states/eV/f.u.),V (A^3/atom)
1,0.41,58.0
2,3.03,17.6
3,4.96,20.9
4,4.24,28.2
5,4.96,22.7
6,3.68,35.1
7,6.29,29.9
8,1.88,14.7